Computed, not measured: Y2NiSe at its PBEsol-relaxed geometry at the SCAN level of DFT.

abc: 3.9504 3.9504 5.6804
angles: 90.00 90.00 90.00
Closest atoms and distances in Å follow each position.
Sites, in units of the cell vectors:
Y: 0.0000 0.0000 0.0000  4 Se 2.79, 2 Ni 2.84
Y: 0.5000 0.5000 0.5000  4 Ni 2.79, 2 Se 2.84
Ni: 0.0000 0.0000 0.5000  6 Y 2.79-2.84
Se: 0.5000 0.5000 0.0000  6 Y 2.79-2.84

Energy   -24.04 eV per atom
Magnetic moment   0.00 μB per cell
Formation energy from raw total energies   -1.057 eV per atom



Computed, not measured: ZnNiSe at its PBEsol-relaxed geometry at the SCAN level of DFT.

abc: 4.0085 4.0085 4.0085
angles: 60.00 60.00 60.00
Closest atoms and distances in Å follow each position.
Sites, in units of the cell vectors:
Zn: 0.0000 0.0000 0.0000  4 Ni 2.45
Ni: 0.2500 0.2500 0.2500  4 Se 2.45, 4 Zn 2.45
Se: 0.5000 0.5000 0.5000  4 Ni 2.45

Energy   -16.77 eV per atom
Magnetic moment   0.00 μB per cell
Formation energy from raw total energies   -0.179 eV per atom



Computed, not measured: Zn2NiSe at its PBEsol-relaxed geometry at the SCAN level of DFT.

abc: 4.6725 4.6725 3.8944
angles: 103.09 103.09 44.12
Closest atoms and distances in Å follow each position.
Sites, in units of the cell vectors:
Zn: 0.2434 0.2434 0.2246  4 Zn 2.50-2.75, 3 Ni 2.58-2.72, 1 Se 2.59
Zn: 0.7566 0.7566 0.7754  4 Zn 2.50-2.75, 3 Ni 2.58-2.72, 1 Se 2.59
Ni: 0.5000 0.5000 0.0000  6 Zn 2.58-2.72, 4 Se 2.62
Se: 0.0000 0.0000 0.5000  6 Zn 2.59-2.83, 4 Ni 2.62

Energy   -15.70 eV per atom
Magnetic moment   0.00 μB per cell
Formation energy from raw total energies   0.118 eV per atom



Computed, not measured: ZnNiSe2 at its PBEsol-relaxed geometry at the SCAN level of DFT.

abc: 3.4210 3.4446 6.6695
angles: 90.00 90.00 90.00
Closest atoms and distances in Å follow each position.
Sites, in units of the cell vectors:
Zn: 0.0000 0.0000 0.0000  4 Se 2.43
Ni: 0.0000 0.5000 0.5000  4 Se 2.43
Se: 0.5000 0.0000 0.5000  4 Ni 2.43
Se: 0.5000 0.5000 0.0000  4 Zn 2.43

Energy   -17.40 eV per atom
Magnetic moment   1.35 μB per cell
Formation energy from raw total energies   0.059 eV per atom



Computed, not measured: ZrNiSe2 at its PBEsol-relaxed geometry at the SCAN level of DFT.

abc: 3.5083 5.9284 5.9284
angles: 34.84 90.00 90.00
Closest atoms and distances in Å follow each position.
Sites, in units of the cell vectors:
Zr: 0.0000 0.0000 0.0000  6 Se 2.70-2.74, 2 Ni 2.74
Ni: 0.5000 0.1855 0.1855  5 Se 2.43-2.50
Se: 0.0000 0.6800 0.6800  4 Ni 2.50, 2 Zr 2.70
Se: 0.5000 0.4006 0.4006  1 Ni 2.43

Energy   -22.78 eV per atom
Magnetic moment   0.00 μB per cell
Formation energy from raw total energies   -1.021 eV per atom



Computed, not measured: Zr2NiSe4 at its PBEsol-relaxed geometry at the SCAN level of DFT.

abc: 7.0105 7.0105 6.3076
angles: 116.72 116.72 30.24
Closest atoms and distances in Å follow each position.
Sites, in units of the cell vectors:
Zr: 0.2475 0.2475 0.2522  6 Se 2.67-2.71
Zr: 0.7525 0.7525 0.7478  6 Se 2.67-2.71
Ni: 0.5000 0.5000 0.5000  6 Se 2.47-2.50
Se: 0.1118 0.1118 0.7780  2 Ni 2.50, 3 Zr 2.68-2.71
Se: 0.3896 0.3896 0.7211  1 Ni 2.47, 3 Zr 2.67
Se: 0.6104 0.6104 0.2789  1 Ni 2.47, 3 Zr 2.67
Se: 0.8882 0.8882 0.2220  2 Ni 2.50, 3 Zr 2.68-2.71

Energy   -23.75 eV per atom
Magnetic moment   0.57 μB per cell
Formation energy from raw total energies   -1.200 eV per atom